No. 1
AlCd4S6 | PBE | optimized geometry

The density of states at the Fermi level is 0.869 states/eV per atom.

Unit cell a=7.1973 b=7.1973 c=12.7429 alpha=107.13 beta=107.13 gamma=58.96
Last column: nearest neighbours and their distance in Å.
Sites, in units of the cell vectors:
Al: 0.2247 0.7753 0.5000  4 S 2.24
Al: 0.7753 0.2247 0.0000  4 S 2.24
Cd: 0.0324 0.8396 0.7479  4 S 2.57-2.62
Cd: 0.1566 0.3957 0.2497  4 S 2.56-2.64
Cd: 0.3957 0.1566 0.7497  4 S 2.56-2.64
Cd: 0.3963 0.7368 0.0962  4 S 2.60-2.75
Cd: 0.6323 0.8674 0.4382  4 S 2.56-2.61
Cd: 0.7368 0.3963 0.5962  4 S 2.60-2.75
Cd: 0.8396 0.0324 0.2479  4 S 2.57-2.62
Cd: 0.8674 0.6323 0.9382  4 S 2.56-2.61
S: 0.0140 0.4936 0.7535  4 Cd 2.56-2.60
S: 0.0263 0.1097 0.4523  1 Al 2.24
S: 0.0459 0.5752 0.4443  1 Al 2.24
S: 0.1000 0.6666 0.1332  4 Cd 2.58-2.62
S: 0.1097 0.0263 0.9523  1 Al 2.24
S: 0.3636 0.7884 0.6826  1 Al 2.24
S: 0.4936 0.0140 0.2535  4 Cd 2.56-2.60
S: 0.5200 0.5710 0.4158  1 Al 2.24
S: 0.5710 0.5200 0.9158  1 Al 2.24
S: 0.5752 0.0459 0.9443  1 Al 2.24
S: 0.6666 0.1000 0.6332  4 Cd 2.58-2.62
S: 0.7884 0.3636 0.1826  1 Al 2.24



No. 2
AlCd4S5 | PBE | optimized geometry

The density of states at the Fermi level is 0.061 states/eV per atom.

Unit cell a=6.6608 b=6.6608 c=6.6608 alpha=99.96 beta=99.96 gamma=130.86
Last column: nearest neighbours and their distance in Å.
Sites, in units of the cell vectors:
Al: 0.0000 0.0000 0.0000  5 S 2.36-2.48
Cd: 0.1574 0.5567 0.8024  6 S 2.66-2.97
Cd: 0.3550 0.1574 0.6007  6 S 2.66-2.97
Cd: 0.5567 0.7543 0.3993  6 S 2.66-2.97
Cd: 0.7543 0.3550 0.1976  6 S 2.66-2.97
S: 0.0303 0.2220 0.3587  1 Al 2.48, 3 Cd 2.66-2.78
S: 0.2220 0.8633 0.1918  1 Al 2.48, 3 Cd 2.66-2.78
S: 0.4253 0.4253 0.0000  1 Al 2.36
S: 0.6715 0.0303 0.8082  1 Al 2.48, 3 Cd 2.66-2.78
S: 0.8633 0.6715 0.6413  1 Al 2.48, 3 Cd 2.66-2.78



No. 3
AlCd2S | PBE | optimized geometry

The density of states at the Fermi level is 0.260 states/eV per atom. For the distance to the lowest polymorph of the same formula, the calculation gives 0.0 meV per atom.

Unit cell a=6.7534 b=6.7534 c=6.7534 alpha=120.12 beta=120.12 gamma=89.79
Last column: nearest neighbours and their distance in Å.
Sites, in units of the cell vectors:
Al: 0.0000 0.0000 0.0000  4 Cd 2.75
Al: 0.7500 0.2500 0.5000  4 Cd 2.75
Cd: 0.1442 0.6250 0.0192  2 S 2.59, 2 Al 2.75
Cd: 0.3750 0.3942 0.5192  2 S 2.59, 2 Al 2.75
Cd: 0.6058 0.1250 0.9808  2 S 2.59, 2 Al 2.75
Cd: 0.8750 0.8558 0.4808  2 S 2.59, 2 Al 2.75
S: 0.2500 0.7500 0.5000  4 Cd 2.59
S: 0.5000 0.5000 0.0000  4 Cd 2.59



No. 4
Al2CdS | PBE | optimized geometry

The density of states at the Fermi level is 0.034 states/eV per atom. For the distance to the lowest polymorph of the same formula, the calculation gives 0.0 meV per atom.

Unit cell a=6.8044 b=6.8044 c=6.8044 alpha=125.96 beta=125.96 gamma=79.96
Last column: nearest neighbours and their distance in Å.
Sites, in units of the cell vectors:
Al: 0.0937 0.6250 0.9687  2 S 2.43, 2 Cd 2.67
Al: 0.3750 0.3437 0.4687  2 S 2.43, 2 Cd 2.67
Al: 0.6563 0.1250 0.0313  2 S 2.43, 2 Cd 2.67
Al: 0.8750 0.9063 0.5313  2 S 2.43, 2 Cd 2.67
Cd: 0.2500 0.7500 0.5000  4 Al 2.67
Cd: 0.5000 0.5000 0.0000  4 Al 2.67
S: 0.0000 0.0000 0.0000  4 Al 2.43
S: 0.7500 0.2500 0.5000  4 Al 2.43



No. 5
AlCd3S4 | PBE | optimized geometry

The density of states at the Fermi level is 0.296 states/eV per atom.

Unit cell a=7.0299 b=7.0299 c=7.0299 alpha=129.24 beta=129.24 gamma=74.62
Last column: nearest neighbours and their distance in Å.
Sites, in units of the cell vectors:
Al: 0.0000 0.0000 0.0000  4 S 2.29
Cd: 0.2500 0.7500 0.5000  4 S 2.61
Cd: 0.5000 0.5000 0.0000  4 S 2.72
Cd: 0.7500 0.2500 0.5000  4 S 2.61
S: 0.1023 0.1023 0.4403  1 Al 2.29
S: 0.3379 0.8977 0.0000  1 Al 2.29
S: 0.6621 0.6621 0.5597  1 Al 2.29
S: 0.8977 0.3379 0.0000  1 Al 2.29



No. 6
Al2CdSbS6 | PBE | optimized geometry

The density of states at the Fermi level is 0.457 states/eV per atom.

Unit cell a=8.3815 b=8.3815 c=6.6484 alpha=99.24 beta=99.24 gamma=85.36
Last column: nearest neighbours and their distance in Å.
Sites, in units of the cell vectors:
Al: 0.1054 0.2830 0.2795  4 S 2.25-2.30
Al: 0.2830 0.1054 0.7795  4 S 2.25-2.30
Al: 0.7170 0.8946 0.2205  4 S 2.25-2.30
Al: 0.8946 0.7170 0.7205  4 S 2.25-2.30
Cd: 0.3987 0.6013 0.7500  6 S 2.64-2.79
Cd: 0.6013 0.3987 0.2500  6 S 2.64-2.79
Sb: 0.2356 0.7644 0.2500  6 S 2.60-2.89
Sb: 0.7644 0.2356 0.7500  6 S 2.60-2.89
S: 0.0656 0.2111 0.5850  2 Al 2.26-2.29
S: 0.1200 0.6064 0.8880  1 Al 2.25
S: 0.2111 0.0656 0.0850  2 Al 2.26-2.29
S: 0.2933 0.4781 0.3594  1 Al 2.30
S: 0.3936 0.8800 0.6120  1 Al 2.25
S: 0.4781 0.2933 0.8594  1 Al 2.30
S: 0.5219 0.7067 0.1406  1 Al 2.30
S: 0.6064 0.1200 0.3880  1 Al 2.25
S: 0.7067 0.5219 0.6406  1 Al 2.30
S: 0.7889 0.9344 0.9150  2 Al 2.26-2.29
S: 0.8800 0.3936 0.1120  1 Al 2.25
S: 0.9344 0.7889 0.4150  2 Al 2.26-2.29



No. 7
Al2CdSnS6 | PBE | optimized geometry

Unit cell a=8.3656 b=8.3656 c=6.4953 alpha=98.48 beta=98.48 gamma=87.06
Last column: nearest neighbours and their distance in Å.
Sites, in units of the cell vectors:
Al: 0.1007 0.2774 0.2897  4 S 2.25-2.30
Al: 0.2774 0.1007 0.7897  4 S 2.25-2.30
Al: 0.7226 0.8993 0.2103  4 S 2.25-2.30
Al: 0.8993 0.7226 0.7103  4 S 2.25-2.30
Cd: 0.4076 0.5924 0.7500  6 S 2.64-2.77
Cd: 0.5924 0.4076 0.2500  6 S 2.64-2.77
Sn: 0.2310 0.7690 0.2500  6 S 2.51-2.70
Sn: 0.7690 0.2310 0.7500  6 S 2.51-2.70
S: 0.0588 0.2165 0.6112  2 Al 2.27-2.30
S: 0.1211 0.6235 0.8957  1 Al 2.25, 1 Sn 2.51
S: 0.2165 0.0588 0.1112  2 Al 2.27-2.30
S: 0.2861 0.4772 0.3601  1 Al 2.29
S: 0.3765 0.8789 0.6043  1 Al 2.25, 1 Sn 2.51
S: 0.4772 0.2861 0.8601  1 Al 2.29
S: 0.5228 0.7139 0.1399  1 Al 2.29
S: 0.6235 0.1211 0.3957  1 Al 2.25, 1 Sn 2.51
S: 0.7139 0.5228 0.6399  1 Al 2.29
S: 0.7835 0.9412 0.8888  2 Al 2.27-2.30
S: 0.8789 0.3765 0.1043  1 Al 2.25, 1 Sn 2.51
S: 0.9412 0.7835 0.3888  2 Al 2.27-2.30



No. 8
AlCdTcS2 | PBE | optimized geometry

The density of states at the Fermi level is 0.489 states/eV per atom.

Unit cell a=4.6014 b=4.6014 c=5.2246 alpha=90.00 beta=90.00 gamma=90.00
Last column: nearest neighbours and their distance in Å.
Sites, in units of the cell vectors:
Al: 0.0000 0.0000 0.0000  4 S 2.30
Cd: 0.0000 0.0000 0.5000  2 Al 2.61
Tc: 0.5000 0.5000 0.5000  4 Cd 3.25, 8 S 3.48
S: 0.0000 0.5000 0.0000  2 Al 2.30
S: 0.5000 0.0000 0.0000  2 Al 2.30



No. 9
AlV2CdS | PBE | optimized geometry

The density of states at the Fermi level is 0.980 states/eV per atom.

Unit cell a=4.4106 b=4.4106 c=4.9434 alpha=90.00 beta=90.00 gamma=90.00
Last column: nearest neighbours and their distance in Å.
Sites, in units of the cell vectors:
Al: 0.0000 0.0000 0.0000  4 Cd 3.12, 8 V 3.31
V: 0.0000 0.5000 0.5000  2 S 2.21
V: 0.5000 0.0000 0.5000  2 S 2.21
Cd: 0.5000 0.5000 0.0000  2 S 2.47
S: 0.5000 0.5000 0.5000  4 V 2.21



No. 10
AlCdWS2 | PBE | optimized geometry

The density of states at the Fermi level is 1.629 states/eV per atom.

Unit cell a=4.7638 b=4.7638 c=5.3437 alpha=90.00 beta=90.00 gamma=90.00
Last column: nearest neighbours and their distance in Å.
Sites, in units of the cell vectors:
Al: 0.0000 0.0000 0.0000  4 W 3.37, 8 S 3.58
Cd: 0.5000 0.5000 0.5000  4 S 2.38
W: 0.5000 0.5000 0.0000  2 Cd 2.67
S: 0.0000 0.5000 0.5000  2 Cd 2.38
S: 0.5000 0.0000 0.5000  2 Cd 2.38



no.,formation energy from raw total energies (eV per atom)
1,-0.57
2,-0.56
3,0.07
4,-0.01
5,-0.63
6,-0.61
7,-0.69
8,0.80
9,0.40
10,1.77